# 1
Compound: PmAg2Se2
Source: Alexandria
Functional: GGA-PBE
Structure: optimized geometry

Summary:
Fermi-level density of states = 0.506 states/eV/atom
raw total energy = -4.16 eV/atom

abc: 8.438 8.383 7.638
angles: 90.00 116.79 90.00
Space group C2/c (No. 15)
Symmetry-distinct sites (fractional):
Pm (0.000, 0.161, 0.250)
Ag (0.000, 0.500, 0.000)
Ag (0.250, 0.250, 0.000)
Se (0.217, 0.099, 0.688)



# 2
Compound: PmAg2Se3
Source: Alexandria
Functional: GGA-PBE
Structure: optimized geometry

Summary:
Fermi-level density of states = 0.557 states/eV/atom
raw total energy = -4.10 eV/atom

abc: 8.663 12.967 5.333
angles: 90.00 90.00 90.00
Space group Cmcm (No. 63)
Symmetry-distinct sites (fractional):
Pm (0.000, 0.235, 0.250)
Ag (0.209, 0.500, 0.000)
Se (0.000, 0.370, 0.750)
Se (0.192, 0.164, 0.750)



# 3
Compound: Pm2SmAgSe5
Source: Alexandria
Functional: GGA-PBE
Structure: optimized geometry

Summary:
Fermi-level density of states = 0.006 states/eV/atom
raw total energy = -5.36 eV/atom

abc: 4.161 17.558 12.571
angles: 90.00 90.00 90.00
Space group Cmc2_1 (No. 36)
Symmetry-distinct sites (fractional):
Pm (0.000, 0.110, 0.000)
Pm (0.000, 0.124, 0.620)
Sm (0.000, 0.196, 0.322)
Ag (0.000, 0.445, 0.776)
Se (0.000, 0.044, 0.396)
Se (0.000, 0.287, 0.986)
Se (0.000, 0.308, 0.655)
Se (0.000, 0.362, 0.315)
Se (0.000, 0.498, 0.088)